Entry 1
# MoAuC2 PBE optimized geometry
# Calculated density   11873 kg/m³
# V   11.1 A^3/atom
data_MoAuC2
_chemical_formula_sum 'Mo4 Au4 C8'
_cell_length_a 5.6179
_cell_length_b 5.6179
_cell_length_c 5.6179
_cell_angle_alpha 90.00
_cell_angle_beta 90.00
_cell_angle_gamma 90.00
_space_group_name_H-M_alt 'F m -3 m'
_space_group_IT_number 225
_space_group_name_Hall '-F 4 2 3'
loop_
_atom_site_label
_atom_site_type_symbol
_atom_site_fract_x
_atom_site_fract_y
_atom_site_fract_z
Mo1 Mo 0.0000 0.0000 0.0000
Au1 Au 0.0000 0.0000 0.5000
C1 C 0.2500 0.2500 0.2500

Entry 2
# MoAuC2 PBE optimized geometry
# Calculated density   9324 kg/m³
# V   14.1 A^3/atom
data_MoAuC2
_chemical_formula_sum 'Mo4 Au4 C8'
_cell_length_a 4.8857
_cell_length_b 4.8857
_cell_length_c 9.4587
_cell_angle_alpha 90.00
_cell_angle_beta 90.00
_cell_angle_gamma 90.00
_space_group_name_H-M_alt 'I -4 2 d'
_space_group_IT_number 122
_space_group_name_Hall 'I -4 2bw'
loop_
_atom_site_label
_atom_site_type_symbol
_atom_site_fract_x
_atom_site_fract_y
_atom_site_fract_z
Mo1 Mo 0.0000 0.0000 0.0000
Au1 Au 0.0000 0.0000 0.5000
C1 C 0.2113 0.2500 0.1250

Which is the most stable structure? entry 2 is the most stable.